A relaxed structure of Hf3CuGe2. Source: the Alexandria database, functional GGA-PBE.

a b c (Å): 10.8600 3.9102 10.2209
angles (deg): 90.00 90.00 90.00
Sites, in units of the cell vectors:
Hf  0.0381  0.2500  0.1189
Hf  0.1265  0.7500  0.5746
Hf  0.2016  0.2500  0.8107
Hf  0.2984  0.7500  0.3107
Hf  0.3735  0.2500  0.0746
Hf  0.4619  0.7500  0.6189
Hf  0.5381  0.2500  0.3811
Hf  0.6265  0.7500  0.9254
Hf  0.7016  0.2500  0.6893
Hf  0.7984  0.7500  0.1893
Hf  0.8735  0.2500  0.4254
Hf  0.9619  0.7500  0.8811
Cu  0.1386  0.2500  0.3670
Cu  0.3614  0.7500  0.8670
Cu  0.6386  0.2500  0.1330
Cu  0.8614  0.7500  0.6330
Ge  0.0216  0.7500  0.3171
Ge  0.1908  0.7500  0.0203
Ge  0.3092  0.2500  0.5203
Ge  0.4784  0.2500  0.8171
Ge  0.5216  0.7500  0.1829
Ge  0.6908  0.7500  0.4797
Ge  0.8092  0.2500  0.9797
Ge  0.9784  0.2500  0.6829

Calculated values
Energy of formation from the pure elements (kJ/mol of formula units): -317.0
Space-group type: No. 62

A relaxed structure of Hf2Cu3Ge2. Source: the Alexandria database, functional GGA-PBE.

a b c (Å): 5.2067 5.2067 6.0130
angles (deg): 101.70 101.70 44.37
Sites, in units of the cell vectors:
Hf  0.1152  0.1152  0.3424
Hf  0.8848  0.8848  0.6576
Cu  0.2195  0.2195  0.8721
Cu  0.5000  0.5000  0.0000
Cu  0.7805  0.7805  0.1279
Ge  0.3951  0.3951  0.3225
Ge  0.6049  0.6049  0.6775

Calculated values
Energy of formation from the pure elements (kJ/mol of formula units): -191.6
Space-group type: No. 12

A relaxed structure of HfCuGeI2. Source: the Alexandria database, functional GGA-PBE.

a b c (Å): 5.5775 5.5775 5.4098
angles (deg): 90.00 90.00 90.00
Sites, in units of the cell vectors:
Hf  0.0000  0.0000  0.0000
Cu  0.5000  0.5000  0.5000
Ge  0.0000  0.0000  0.5000
I  0.0000  0.5000  0.0000
I  0.5000  0.0000  0.0000

Calculated values
Space-group type: No. 123

no.,spin magnetization (μB/f.u.),electronic total energy (eV/f.u.)
1,0.0,-46.5
2,0.0,-43.4
3,0.0,-19.1